The following is a DFT calculation (PBE) of an optimized crystal structure of SrLi2HgO.

Lattice parameters (Å, degrees): 4.5366 4.5366 4.8855 90.00 90.00 90.00
Element x y z (fractional)
Sr (0.0000, 0.0000, 0.5000)
Hg (0.5000, 0.5000, 0.5000)
O (0.0000, 0.0000, 0.0000)
Li (0.0000, 0.5000, 0.0000)
Li (0.5000, 0.0000, 0.0000)

Calculated values
crystal system	tetragonal
spin magnetization	0.0000	μB/atom
uncorrected energy	-0.235	Ry/atom

The following is a DFT calculation (PBE) of an optimized crystal structure of Mg3RhS.

Lattice parameters (Å, degrees): 4.8655 4.8655 4.8655 90.00 90.00 90.00
Element x y z (fractional)
S (0.5000, 0.5000, 0.5000)
Rh (0.0000, 0.0000, 0.0000)
Mg (0.0000, 0.5000, 0.0000)
Mg (0.0000, 0.0000, 0.5000)
Mg (0.5000, 0.0000, 0.0000)

Calculated values
crystal system	cubic
spin magnetization	0.0000	μB/atom
energy above the lowest structure with this stoichiometry	0.048	eV/atom
uncorrected energy	-0.239	Ry/atom

The following is a DFT calculation (PBE) of an optimized crystal structure of YZrAl2.

Lattice parameters (Å, degrees): 3.3280 4.3977 6.0788 90.00 90.00 90.00
Element x y z (fractional)
Y (0.0000, 0.0000, 0.4901)
Al (0.0000, 0.0000, 0.9837)
Al (0.5000, 0.5000, 0.2535)
Zr (0.5000, 0.5000, 0.7727)

Calculated values
crystal system	orthorhombic
energy of formation	-0.074	eV/atom
spin magnetization	0.0000	μB/atom
energy above the lowest structure with this stoichiometry	0.317	eV/atom
uncorrected energy	-0.419	Ry/atom

The following is a DFT calculation (PBE) of an optimized crystal structure of Ag5Br2Cl2.

Lattice parameters (Å, degrees): 7.1070 5.8736 11.9966 104.17 107.23 90.00
Element x y z (fractional)
Ag (0.1839, 0.6664, 0.8623)
Ag (0.8161, 0.8041, 0.1377)
Ag (0.1784, 0.1664, 0.8623)
Ag (0.8216, 0.3041, 0.1377)
Ag (0.1714, 0.1136, 0.2669)
Ag (0.8286, 0.8467, 0.7331)
Ag (0.5955, 0.6136, 0.2669)
Ag (0.4045, 0.3467, 0.7331)
Ag (0.1861, 0.7286, 0.5000)
Ag (0.8139, 0.2286, 0.5000)
Br (0.2015, 0.6167, 0.2698)
Br (0.7985, 0.3469, 0.7302)
Br (0.5683, 0.1167, 0.2698)
Br (0.4317, 0.8469, 0.7302)
Cl (0.0000, 0.9819, 0.0000)
Cl (0.5000, 0.4819, 0.0000)
Cl (0.1875, 0.2311, 0.5000)
Cl (0.8125, 0.7311, 0.5000)

Calculated values
crystal system	orthorhombic
spin magnetization	0.0000	μB/atom
energy above the lowest structure with this stoichiometry	0.000	eV/atom
uncorrected energy	-0.188	Ry/atom